No. 1
The following is a GGA-PBE calculation of a relaxed CoReRu2 crystal, from Alexandria.

Unit cell a=2.756 b=4.464 c=4.481 alpha=90.00 beta=90.00 gamma=90.00
Space group Pmmm (No. 47)
One atom of each set of equivalent atoms:
Co1 0.000 0.000 0.000 [1 per cell]
Re1 0.500 0.000 0.500 [1 per cell]
Ru1 0.000 0.500 0.500 [1 per cell]
Ru2 0.500 0.500 0.000 [1 per cell]

Summary:
calculated formation energy	0.4156	eV per atom
electronic total energy	-36.4	eV for the cell shown

No. 2
The following is a GGA-PBE calculation of a relaxed CoReRu2 crystal, from Alexandria.

Unit cell a=2.679 b=3.748 c=5.333 alpha=90.00 beta=90.00 gamma=90.00
Space group Pmm2 (No. 25)
One atom of each set of equivalent atoms:
Co1 0.000 0.000 0.000 [1 per cell]
Re1 0.500 0.500 0.234 [1 per cell]
Ru1 0.000 0.000 0.503 [1 per cell]
Ru2 0.500 0.500 0.763 [1 per cell]

Summary:
calculated formation energy	0.0915	eV per atom
electronic total energy	-37.7	eV for the cell shown

The records above give, respectively, Fermi-level density of states values of 1.607 1.301 states/eV/atom.
The records above give, respectively, energy above the lowest structure with this stoichiometry values of 344.5 20.4 meV per atom.
The records above give, respectively, spin magnetization values of 1.73 0.00 μB/f.u..